Model one:
Computed, not measured: TeIN2F at its PBEsol-relaxed geometry at the SCAN level of DFT.

Cell lengths 4.2523, 4.6841, 4.6841 Å; angles 90.00, 90.00, 90.00 degrees
Site moments in Bohr magnetons follow the coordinates.
Fractional positions:
I: 0.5000 0.0000 0.0000  -0.04
N: 0.0000 0.0000 0.5000  1.71
N: 0.0000 0.5000 0.0000  1.71
Te: 0.5000 0.5000 0.5000  -0.27
F: 0.0000 0.0000 0.0000  0.12

Summary:
Its space group is P4/mmm, No. 123. The calculation puts the size of the total moment at 0.900 μB per atom.

Model two:
Computed, not measured: TeIN2F at its PBEsol-relaxed geometry at the SCAN level of DFT.

Cell lengths 3.8633, 3.8633, 6.3893 Å; angles 90.00, 90.00, 90.00 degrees
Fractional positions:
I: 0.0000 0.0000 0.0000
N: 0.0000 0.5000 0.0000
N: 0.5000 0.0000 0.0000
Te: 0.0000 0.0000 0.5000
F: 0.5000 0.5000 0.5000

Summary:
Its space group is P4/mmm, No. 123. The calculation puts the size of the total moment at 0.000 μB per atom.

Of all the structures shown, which is most stable? model two, and model one is the least stable.